Record 1
Here is a relaxed structure of Dy2YTm4Mg from Alexandria via LeMat-Bulk. Energies are from PBE-GGA.

## Properties
ΔE_f = 0.03 eV per atom

a = 4.9091 Å, b = 4.9203 Å, c = 9.9191 Å
α = 90.00°, β = 90.00°, γ = 90.00°
Fractional coordinates of all 8 atoms:
Dy1 0.0000 0.0000 0.0000
Dy2 0.5000 0.5000 0.5000
Y1 0.0000 0.0000 0.5000
Tm1 0.0000 0.5000 0.2483
Tm2 0.0000 0.5000 0.7517
Tm3 0.5000 0.0000 0.2482
Tm4 0.5000 0.0000 0.7518
Mg1 0.5000 0.5000 0.0000

***

Record 2
Here is a relaxed structure of Ac5DyPb6 from Alexandria via LeMat-Bulk. Energies are from PBE-GGA.

## Properties
ΔE_f = -0.46 eV per atom
energy relative to the lowest polymorph listed for this composition = 0 kJ/mol of formula units

a = 9.7664 Å, b = 9.7664 Å, c = 5.4444 Å
α = 105.71°, β = 105.71°, γ = 56.77°
Fractional coordinates of all 12 atoms:
Ac1 0.0000 0.0000 0.0000
Ac2 0.1686 0.1686 0.6678
Ac3 0.3364 0.3364 0.3362
Ac4 0.6636 0.6636 0.6638
Ac5 0.8314 0.8314 0.3322
Dy1 0.5000 0.5000 0.0000
Pb1 0.0951 0.5852 0.8401
Pb2 0.2568 0.7432 0.5000
Pb3 0.4148 0.9049 0.1599
Pb4 0.5852 0.0951 0.8401
Pb5 0.7432 0.2568 0.5000
Pb6 0.9049 0.4148 0.1599

***

Record 3
Here is a relaxed structure of CePaO2 from Alexandria via LeMat-Bulk. Energies are from PBE-GGA.

## Properties
energy relative to the lowest polymorph listed for this composition = 0 kJ/mol of formula units
formation energy without anion corrections = -2563 meV per atom

a = 6.7301 Å, b = 6.7301 Å, c = 6.7301 Å
α = 32.43°, β = 32.43°, γ = 32.43°
Fractional coordinates of all 4 atoms:
Ce1 0.0000 0.0000 0.0000
Pa1 0.5000 0.5000 0.5000
O1 0.1255 0.1255 0.1255
O2 0.8745 0.8745 0.8745

***

Number 1: E_tot -4.36 eV per atom. Number 2: E_tot -4.41 eV per atom. Number 3: E_tot -8.90 eV per atom.